# AlW3 | the Alexandria database | PBE | relaxed
data_AlW3
_cell_length_a 2.758
_cell_length_b 2.758
_cell_length_c 8.790
_cell_angle_alpha 90.00
_cell_angle_beta 90.00
_cell_angle_gamma 108.72
_symmetry_space_group_name_H-M 'P 1'
_symmetry_Int_Tables_number 1
loop_
_symmetry_equiv_pos_as_xyz
'x,y,z'
loop_
_atom_site_label
_atom_site_type_symbol
_atom_site_fract_x
_atom_site_fract_y
_atom_site_fract_z
W1 W 0.500 0.500 0.754
W2 W 0.000 0.000 0.500
W3 W 0.500 0.500 0.246
Al1 Al 0.000 0.000 0.000
# Magnetic moment ... 0.000 μB per formula unit
# Raw total energy ... -10.6513 eV/atom
# ΔH_f (0 K) ... -1 meV/atom

# Al3W | the Alexandria database | PBE | relaxed
data_Al3W
_cell_length_a 4.987
_cell_length_b 5.391
_cell_length_c 13.612
_cell_angle_alpha 90.00
_cell_angle_beta 90.00
_cell_angle_gamma 90.00
_symmetry_space_group_name_H-M 'P 1'
_symmetry_Int_Tables_number 1
loop_
_symmetry_equiv_pos_as_xyz
'x,y,z'
loop_
_atom_site_label
_atom_site_type_symbol
_atom_site_fract_x
_atom_site_fract_y
_atom_site_fract_z
Al1 Al 0.549 0.999 0.750
Al2 Al 0.451 0.499 0.250
Al3 Al 0.451 0.001 0.250
Al4 Al 0.143 0.002 0.086
Al5 Al 0.924 0.250 0.250
Al6 Al 0.857 0.998 0.914
Al7 Al 0.654 0.750 0.413
Al8 Al 0.346 0.250 0.913
Al9 Al 0.857 0.998 0.586
Al10 Al 0.143 0.498 0.086
Al11 Al 0.143 0.002 0.414
Al12 Al 0.143 0.498 0.414
Al13 Al 0.857 0.502 0.586
Al14 Al 0.857 0.502 0.914
Al15 Al 0.076 0.750 0.750
Al16 Al 0.549 0.501 0.750
Al17 Al 0.346 0.250 0.587
Al18 Al 0.654 0.750 0.087
W1 W 0.365 0.750 0.576
W2 W 0.365 0.750 0.924
W3 W 0.032 0.250 0.750
W4 W 0.635 0.250 0.424
W5 W 0.968 0.750 0.250
W6 W 0.635 0.250 0.076
# Magnetic moment ... 0.000 μB per formula unit
# Raw total energy ... -6.1639 eV/atom
# ΔH_f (0 K) ... -119 meV/atom

# Al3W | the Alexandria database | PBE | relaxed
data_Al3W
_cell_length_a 2.786
_cell_length_b 4.610
_cell_length_c 4.819
_cell_angle_alpha 90.00
_cell_angle_beta 90.00
_cell_angle_gamma 90.00
_symmetry_space_group_name_H-M 'P 1'
_symmetry_Int_Tables_number 1
loop_
_symmetry_equiv_pos_as_xyz
'x,y,z'
loop_
_atom_site_label
_atom_site_type_symbol
_atom_site_fract_x
_atom_site_fract_y
_atom_site_fract_z
Al1 Al 0.000 0.000 0.010
Al2 Al 0.500 0.000 0.504
Al3 Al 0.500 0.500 0.829
W1 W 0.000 0.500 0.323
# Magnetic moment ... 0.000 μB per formula unit
# Raw total energy ... -6.1520 eV/atom
# ΔH_f (0 K) ... -107 meV/atom

# AlW5 | the Alexandria database | PBE | relaxed
data_AlW5
_cell_length_a 2.701
_cell_length_b 2.701
_cell_length_c 13.287
_cell_angle_alpha 90.00
_cell_angle_beta 90.00
_cell_angle_gamma 90.00
_symmetry_space_group_name_H-M 'P 1'
_symmetry_Int_Tables_number 1
loop_
_symmetry_equiv_pos_as_xyz
'x,y,z'
loop_
_atom_site_label
_atom_site_type_symbol
_atom_site_fract_x
_atom_site_fract_y
_atom_site_fract_z
W1 W 0.500 0.500 0.671
W2 W 0.500 0.500 0.329
W3 W 0.000 0.000 0.844
W4 W 0.000 0.000 0.500
W5 W 0.000 0.000 0.156
Al1 Al 0.500 0.500 0.000
# Relative energy among the computed polymorphs ... 0.2445 eV/atom
# Magnetic moment ... 0.000 μB per formula unit
# Raw total energy ... -11.1444 eV/atom
# ΔH_f (0 K) ... 274 meV/atom

# Al3W | the Alexandria database | PBE | relaxed
data_Al3W
_cell_length_a 5.278
_cell_length_b 5.899
_cell_length_c 8.607
_cell_angle_alpha 90.00
_cell_angle_beta 90.00
_cell_angle_gamma 90.00
_symmetry_space_group_name_H-M 'P 1'
_symmetry_Int_Tables_number 1
loop_
_symmetry_equiv_pos_as_xyz
'x,y,z'
loop_
_atom_site_label
_atom_site_type_symbol
_atom_site_fract_x
_atom_site_fract_y
_atom_site_fract_z
W1 W 0.650 0.864 0.750
W2 W 0.350 0.136 0.250
W3 W 0.150 0.636 0.250
W4 W 0.850 0.364 0.750
Al1 Al 0.350 0.484 0.750
Al2 Al 0.596 0.197 0.521
Al3 Al 0.404 0.803 0.021
Al4 Al 0.650 0.516 0.250
Al5 Al 0.596 0.197 0.979
Al6 Al 0.404 0.803 0.479
Al7 Al 0.904 0.697 0.521
Al8 Al 0.150 0.984 0.750
Al9 Al 0.850 0.016 0.250
Al10 Al 0.096 0.303 0.021
Al11 Al 0.096 0.303 0.479
Al12 Al 0.904 0.697 0.979
# Magnetic moment ... 0.000 μB per formula unit
# Raw total energy ... -6.0309 eV/atom
# ΔH_f (0 K) ... 14 meV/atom

# Al7W | the Alexandria database | PBE | relaxed
data_Al7W
_cell_length_a 5.633
_cell_length_b 5.633
_cell_length_c 5.633
_cell_angle_alpha 60.00
_cell_angle_beta 60.00
_cell_angle_gamma 60.00
_symmetry_space_group_name_H-M 'P 1'
_symmetry_Int_Tables_number 1
loop_
_symmetry_equiv_pos_as_xyz
'x,y,z'
loop_
_atom_site_label
_atom_site_type_symbol
_atom_site_fract_x
_atom_site_fract_y
_atom_site_fract_z
W1 W 0.000 0.000 0.000
Al1 Al 0.500 0.500 0.000
Al2 Al 0.000 0.000 0.500
Al3 Al 0.000 0.500 0.500
Al4 Al 0.500 0.000 0.500
Al5 Al 0.500 0.500 0.500
Al6 Al 0.500 0.000 0.000
Al7 Al 0.000 0.500 0.000
# Magnetic moment ... 0.000 μB per formula unit
# Raw total energy ... -4.8835 eV/atom
# ΔH_f (0 K) ... 10 meV/atom

# AlW3 | the Alexandria database | PBE | relaxed
data_AlW3
_cell_length_a 2.829
_cell_length_b 2.829
_cell_length_c 9.256
_cell_angle_alpha 90.00
_cell_angle_beta 90.00
_cell_angle_gamma 120.00
_symmetry_space_group_name_H-M 'P 1'
_symmetry_Int_Tables_number 1
loop_
_symmetry_equiv_pos_as_xyz
'x,y,z'
loop_
_atom_site_label
_atom_site_type_symbol
_atom_site_fract_x
_atom_site_fract_y
_atom_site_fract_z
Al1 Al 0.000 0.000 0.000
W1 W 0.667 0.333 0.243
W2 W 0.667 0.333 0.757
W3 W 0.000 0.000 0.500
# Magnetic moment ... 0.000 μB per formula unit
# Raw total energy ... -10.4359 eV/atom
# ΔH_f (0 K) ... 215 meV/atom

# Al2W | the Alexandria database | PBE | relaxed
data_Al2W
_cell_length_a 13.018
_cell_length_b 13.018
_cell_length_c 13.018
_cell_angle_alpha 167.81
_cell_angle_beta 167.81
_cell_angle_gamma 17.27
_symmetry_space_group_name_H-M 'P 1'
_symmetry_Int_Tables_number 1
loop_
_symmetry_equiv_pos_as_xyz
'x,y,z'
loop_
_atom_site_label
_atom_site_type_symbol
_atom_site_fract_x
_atom_site_fract_y
_atom_site_fract_z
W1 W 0.000 0.000 0.000
W2 W 0.750 0.250 0.500
Al1 Al 0.172 0.672 0.500
Al2 Al 0.328 0.828 0.500
Al3 Al 0.578 0.578 0.000
Al4 Al 0.422 0.422 0.000
# Magnetic moment ... 0.000 μB per formula unit
# Raw total energy ... -6.7650 eV/atom
# ΔH_f (0 K) ... 48 meV/atom

no.,density of states at the Fermi level (states/eV/cell)
1,1.97
2,11.19
3,1.71
4,3.33
5,7.77
6,3.96
7,2.98
8,1.86